(1)
DFT (PBEsol) results for a relaxed structure of AlCrCu.

Cell: 3.455 3.742 11.344 Å, 90.00 90.00 90.00°
Sites, in units of the cell vectors:
Al: 0.000 0.000 0.000
Al: 0.000 0.500 0.500
Al: 0.500 0.000 0.500
Al: 0.500 0.500 0.000
Cr: 0.000 0.000 0.667
Cr: 0.000 0.500 0.167
Cr: 0.500 0.000 0.167
Cr: 0.500 0.500 0.667
Cu: 0.000 0.000 0.333
Cu: 0.000 0.500 0.833
Cu: 0.500 0.000 0.833
Cu: 0.500 0.500 0.333

Output
- DFT formation energy: 0.070 eV per atom
- Crystal system: orthorhombic
- DFT total energy: -73.8 eV per cell


(2)
DFT (PBEsol) results for a relaxed structure of FeMoPt2.

Cell: 2.692 4.368 4.797 Å, 90.00 90.00 90.00°
Sites, in units of the cell vectors:
Fe: 0.000 0.000 0.000
Mo: 0.000 0.500 0.680
Pt: 0.500 0.000 0.506
Pt: 0.500 0.500 0.167

Output
- DFT formation energy: -0.227 eV per atom
- Crystal system: orthorhombic
- DFT total energy: -35.6 eV per cell


(3)
DFT (PBEsol) results for a relaxed structure of UReB3.

Cell: 5.039 5.039 5.062 Å, 90.00 90.00 120.00°
Sites, in units of the cell vectors:
U: 0.333 0.667 0.250
U: 0.667 0.333 0.750
Re: 0.000 0.000 0.000
Re: 0.000 0.000 0.500
B: 0.219 0.438 0.750
B: 0.219 0.781 0.750
B: 0.438 0.219 0.250
B: 0.562 0.781 0.750
B: 0.781 0.219 0.250
B: 0.781 0.562 0.250

Output
- DFT formation energy: -0.570 eV per atom
- Crystal system: hexagonal
- DFT total energy: -98.8 eV per cell


(4)
DFT (PBEsol) results for a relaxed structure of TbAlCu.

Cell: 6.979 6.979 3.955 Å, 90.00 90.00 120.00°
Sites, in units of the cell vectors:
Tb: 0.000 0.416 0.000
Tb: 0.416 0.000 0.000
Tb: 0.584 0.584 0.000
Al: 0.000 0.764 0.500
Al: 0.236 0.236 0.500
Al: 0.764 0.000 0.500
Cu: 0.000 0.000 0.000
Cu: 0.333 0.667 0.500
Cu: 0.667 0.333 0.500

Output
- DFT formation energy: -0.450 eV per atom
- Crystal system: hexagonal
- DFT total energy: -44.4 eV per cell


(5)
DFT (PBEsol) results for a relaxed structure of Li2MgSi.

Cell: 2.847 4.264 5.505 Å, 90.00 103.28 90.00°
Sites, in units of the cell vectors:
Li: 0.000 0.000 0.000
Li: 0.190 0.500 0.769
Mg: 0.695 0.500 0.291
Si: 0.379 0.000 0.538

Output
- Crystal system: monoclinic
- DFT total energy: -11.8 eV per cell


(6)
DFT (PBEsol) results for a relaxed structure of BaTbO3.

Cell: 6.190 6.190 6.190 Å, 120.69 120.69 88.80°
Sites, in units of the cell vectors:
Ba: 0.250 0.750 0.500
Ba: 0.750 0.250 0.500
Tb: 0.000 0.000 0.000
Tb: 0.500 0.500 0.000
O: 0.191 0.691 0.882
O: 0.250 0.250 0.000
O: 0.309 0.191 0.500
O: 0.691 0.809 0.500
O: 0.750 0.750 0.000
O: 0.809 0.309 0.118

Output
- Crystal system: tetragonal
- DFT total energy: -73.0 eV per cell


(7)
DFT (PBEsol) results for a relaxed structure of Cr.

Cell: 4.485 4.485 4.485 Å, 90.00 90.00 90.00°
Sites, in units of the cell vectors:
Cr: 0.000 0.000 0.000
Cr: 0.000 0.250 0.500
Cr: 0.000 0.750 0.500
Cr: 0.250 0.500 0.000
Cr: 0.500 0.000 0.250
Cr: 0.500 0.000 0.750
Cr: 0.500 0.500 0.500
Cr: 0.750 0.500 0.000

Output
- DFT formation energy: 0.068 eV per atom
- Crystal system: cubic
- DFT total energy: -81.4 eV per cell


(8)
DFT (PBEsol) results for a relaxed structure of CaCo2BiPt.

Cell: 4.666 4.666 5.156 Å, 90.00 90.00 90.00°
Sites, in units of the cell vectors:
Ca: 0.000 0.000 0.000
Co: 0.000 0.500 0.500
Co: 0.500 0.000 0.500
Bi: 0.500 0.500 0.000
Pt: 0.000 0.000 0.500

Output
- DFT formation energy: 0.574 eV per atom
- Crystal system: tetragonal
- DFT total energy: -26.0 eV per cell


(9)
DFT (PBEsol) results for a relaxed structure of TlBi2H.

Cell: 7.251 7.251 7.251 Å, 90.00 90.00 90.00°
Sites, in units of the cell vectors:
Tl: 0.000 0.000 0.000
Tl: 0.000 0.500 0.500
Tl: 0.500 0.000 0.500
Tl: 0.500 0.500 0.000
Bi: 0.250 0.250 0.250
Bi: 0.250 0.250 0.750
Bi: 0.250 0.750 0.250
Bi: 0.250 0.750 0.750
Bi: 0.750 0.250 0.250
Bi: 0.750 0.250 0.750
Bi: 0.750 0.750 0.250
Bi: 0.750 0.750 0.750
H: 0.000 0.000 0.500
H: 0.000 0.500 0.000
H: 0.500 0.000 0.000
H: 0.500 0.500 0.500

Output
- Crystal system: cubic
- DFT total energy: -49.8 eV per cell


(10)
DFT (PBEsol) results for a relaxed structure of MgV4O10.

Cell: 3.509 11.359 4.570 Å, 90.00 90.00 90.00°
Sites, in units of the cell vectors:
Mg: 0.000 0.000 0.000
V: 0.000 0.348 0.827
V: 0.000 0.652 0.827
V: 0.500 0.153 0.583
V: 0.500 0.847 0.583
O: 0.000 0.167 0.726
O: 0.000 0.341 0.175
O: 0.000 0.500 0.747
O: 0.000 0.659 0.175
O: 0.000 0.833 0.726
O: 0.500 0.000 0.747
O: 0.500 0.119 0.233
O: 0.500 0.317 0.693
O: 0.500 0.683 0.693
O: 0.500 0.881 0.233

Output
- Crystal system: orthorhombic
- DFT total energy: -127.8 eV per cell


(11)
DFT (PBEsol) results for a relaxed structure of Al4CrRe.

Cell: 4.962 4.962 4.962 Å, 60.00 60.00 60.00°
Sites, in units of the cell vectors:
Al: 0.125 0.125 0.125
Al: 0.125 0.125 0.625
Al: 0.125 0.625 0.125
Al: 0.625 0.125 0.125
Cr: 0.500 0.500 0.500
Re: 0.750 0.750 0.750

Output
- DFT formation energy: 0.231 eV per atom
- Crystal system: cubic
- DFT total energy: -38.6 eV per cell


(12)
DFT (PBEsol) results for a relaxed structure of YNiMo2.

Cell: 5.255 9.578 2.771 Å, 90.00 110.83 90.00°
Sites, in units of the cell vectors:
Y: 0.000 0.000 0.000
Y: 0.500 0.500 0.000
Ni: 0.000 0.500 0.000
Ni: 0.500 0.000 0.000
Mo: 0.250 0.250 0.500
Mo: 0.250 0.750 0.500
Mo: 0.750 0.250 0.500
Mo: 0.750 0.750 0.500

Output
- DFT formation energy: 0.422 eV per atom
- Crystal system: monoclinic
- DFT total energy: -69.7 eV per cell


(13)
DFT (PBEsol) results for a relaxed structure of CrCd3Fe.

Cell: 4.840 4.840 4.840 Å, 90.00 90.00 90.00°
Sites, in units of the cell vectors:
Cr: 0.000 0.000 0.000
Cd: 0.000 0.500 0.500
Cd: 0.500 0.000 0.500
Cd: 0.500 0.500 0.000
Fe: 0.500 0.500 0.500

Output
- DFT formation energy: 1.031 eV per atom
- Crystal system: cubic
- DFT total energy: -17.6 eV per cell


(14)
DFT (PBEsol) results for a relaxed structure of HfP3Br.

Cell: 4.933 4.933 4.933 Å, 90.00 90.00 90.00°
Sites, in units of the cell vectors:
Hf: 0.000 0.000 0.000
P: 0.000 0.000 0.500
P: 0.000 0.500 0.000
P: 0.500 0.000 0.000
Br: 0.500 0.500 0.500

Output
- Crystal system: cubic
- DFT total energy: -27.6 eV per cell


(15)
DFT (PBEsol) results for a relaxed structure of TaMnRu2.

Cell: 2.710 2.710 26.185 Å, 90.00 90.00 120.00°
Sites, in units of the cell vectors:
Ta: 0.000 0.000 0.000
Ta: 0.333 0.667 0.667
Ta: 0.667 0.333 0.333
Mn: 0.000 0.000 0.753
Mn: 0.333 0.667 0.420
Mn: 0.667 0.333 0.087
Ru: 0.000 0.000 0.245
Ru: 0.000 0.000 0.495
Ru: 0.333 0.667 0.161
Ru: 0.333 0.667 0.912
Ru: 0.667 0.333 0.578
Ru: 0.667 0.333 0.828

Output
- DFT formation energy: 0.236 eV per atom
- Crystal system: trigonal
- DFT total energy: -125.1 eV per cell


(16)
DFT (PBEsol) results for a relaxed structure of SrScTe2.

Cell: 7.615 7.615 7.615 Å, 90.00 90.00 90.00°
Sites, in units of the cell vectors:
Sr: 0.000 0.000 0.000
Sr: 0.000 0.500 0.500
Sr: 0.500 0.000 0.500
Sr: 0.500 0.500 0.000
Sc: 0.250 0.250 0.250
Sc: 0.250 0.750 0.750
Sc: 0.750 0.250 0.750
Sc: 0.750 0.750 0.250
Te: 0.000 0.000 0.500
Te: 0.000 0.500 0.000
Te: 0.250 0.250 0.750
Te: 0.250 0.750 0.250
Te: 0.500 0.000 0.000
Te: 0.500 0.500 0.500
Te: 0.750 0.250 0.250
Te: 0.750 0.750 0.750

Output
- Crystal system: cubic
- DFT total energy: -68.3 eV per cell


(17)
DFT (PBEsol) results for a relaxed structure of LaIn2Ag.

Cell: 4.660 4.660 16.175 Å, 90.00 90.00 120.00°
Sites, in units of the cell vectors:
La: 0.000 0.000 0.000
La: 0.333 0.667 0.667
La: 0.667 0.333 0.333
In: 0.000 0.000 0.219
In: 0.000 0.000 0.781
In: 0.333 0.667 0.447
In: 0.333 0.667 0.886
In: 0.667 0.333 0.114
In: 0.667 0.333 0.553
Ag: 0.000 0.000 0.500
Ag: 0.333 0.667 0.167
Ag: 0.667 0.333 0.833

Output
- DFT formation energy: -0.382 eV per atom
- Crystal system: trigonal
- DFT total energy: -48.5 eV per cell


(18)
DFT (PBEsol) results for a relaxed structure of SrTl2Br.

Cell: 4.359 4.359 6.655 Å, 90.00 90.00 90.00°
Sites, in units of the cell vectors:
Sr: 0.000 0.000 0.000
Tl: 0.000 0.500 0.500
Tl: 0.500 0.000 0.500
Br: 0.500 0.500 0.000

Output
- Crystal system: tetragonal
- DFT total energy: -11.6 eV per cell


(19)
DFT (PBEsol) results for a relaxed structure of Li2CuNi.

Cell: 2.722 4.077 8.248 Å, 90.00 90.00 90.00°
Sites, in units of the cell vectors:
Li: 0.000 0.000 0.248
Li: 0.000 0.000 0.752
Li: 0.500 0.500 0.252
Li: 0.500 0.500 0.748
Cu: 0.000 0.500 0.000
Cu: 0.500 0.000 0.500
Ni: 0.000 0.500 0.500
Ni: 0.500 0.000 0.000

Output
- DFT formation energy: 0.025 eV per atom
- Crystal system: orthorhombic
- DFT total energy: -28.6 eV per cell


(20)
DFT (PBEsol) results for a relaxed structure of LiLaAg2.

Cell: 3.258 4.964 5.375 Å, 90.00 90.15 90.00°
Sites, in units of the cell vectors:
Li: 0.000 0.000 0.000
La: 0.005 0.500 0.588
Ag: 0.503 0.000 0.399
Ag: 0.504 0.500 0.092

Output
- DFT formation energy: -0.123 eV per atom
- Crystal system: monoclinic
- DFT total energy: -14.4 eV per cell